Density functional theory data (GGA-PBE) for crystalline RuWC2 at its relaxed geometry.

a b c (Å): 3.825 3.825 3.825
angles (deg): 60.00 60.00 60.00
Sites, in units of the cell vectors:
C (0.250, 0.250, 0.250)
C (0.750, 0.750, 0.750)
W (0.500, 0.500, 0.500)
Ru (0.000, 0.000, 0.000)

Formation enthalpy at 0 K = 1.07 eV per atom
Polymorph energy (0 for the lowest one) = 1.93 eV per formula unit
Symmetry = Fm-3m (225)
M_tot = 0.0 μB per formula unit

***

Density functional theory data (GGA-PBE) for crystalline Mn2TlIn at its relaxed geometry.

a b c (Å): 4.812 4.812 4.812
angles (deg): 60.00 60.00 60.00
Site moments in Bohr magnetons follow the coordinates.
Sites, in units of the cell vectors:
In (0.500, 0.500, 0.500)  -0.05
Mn (0.250, 0.250, 0.250)  3.42
Mn (0.000, 0.000, 0.000)  3.50
Tl (0.750, 0.750, 0.750)  -0.02

Formation enthalpy at 0 K = 0.64 eV per atom
Polymorph energy (0 for the lowest one) = 0.99 eV per formula unit
Symmetry = F-43m (216)
M_tot = 7.2 μB per formula unit

***

Density functional theory data (GGA-PBE) for crystalline TlPb7 at its relaxed geometry.

a b c (Å): 7.087 7.087 7.087
angles (deg): 60.00 60.00 60.00
Sites, in units of the cell vectors:
Pb (0.000, 0.500, 0.500)
Pb (0.500, 0.500, 0.500)
Pb (0.500, 0.000, 0.500)
Pb (0.500, 0.000, 0.000)
Pb (0.000, 0.500, 0.000)
Pb (0.000, 0.000, 0.500)
Pb (0.500, 0.500, 0.000)
Tl (0.000, 0.000, 0.000)

Formation enthalpy at 0 K = 0.01 eV per atom
Symmetry = Fm-3m (225)
M_tot = 0.0 μB per formula unit

***

Density functional theory data (GGA-PBE) for crystalline DyGeH at its relaxed geometry.

a b c (Å): 4.044 3.990 6.099
angles (deg): 90.00 109.34 90.00
Sites, in units of the cell vectors:
H (0.861, 0.115, 0.184)
H (0.369, 0.615, 0.201)
Dy (0.967, 0.615, 0.394)
Dy (0.264, 0.115, 0.991)
Ge (0.681, 0.616, 0.826)
Ge (0.549, 0.116, 0.560)

Polymorph energy (0 for the lowest one) = 0.00 eV per formula unit
Symmetry = P2_1/m (11)
M_tot = 0.0 μB per formula unit

***

Density functional theory data (GGA-PBE) for crystalline Tb8SmMg2 at its relaxed geometry.

a b c (Å): 5.314 8.372 8.761
angles (deg): 113.31 107.65 90.00
Sites, in units of the cell vectors:
Tb (0.687, 0.951, 0.375)
Tb (0.851, 0.795, 0.702)
Tb (0.945, 0.265, 0.891)
Tb (0.313, 0.049, 0.625)
Tb (0.600, 0.471, 0.200)
Tb (0.149, 0.205, 0.298)
Tb (0.055, 0.735, 0.109)
Tb (0.400, 0.529, 0.800)
Mg (0.774, 0.371, 0.548)
Mg (0.226, 0.629, 0.452)
Sm (0.500, 0.000, 0.000)

Formation enthalpy at 0 K = 0.02 eV per atom
Polymorph energy (0 for the lowest one) = 0.00 eV per formula unit
Symmetry = C2/m (12)
M_tot = 0.0 μB per formula unit

***

Density functional theory data (GGA-PBE) for crystalline Zr2I13 at its relaxed geometry.

a b c (Å): 8.447 9.344 19.565
angles (deg): 127.59 137.61 58.33
Sites, in units of the cell vectors:
I (0.610, 0.645, 0.099)
I (0.390, 0.355, 0.901)
I (0.306, 0.345, 0.486)
I (0.804, 0.230, 0.804)
I (0.152, 0.245, 0.223)
I (0.443, 0.754, 0.857)
I (0.848, 0.755, 0.777)
I (0.893, 0.990, 0.341)
I (0.196, 0.770, 0.196)
I (0.000, 0.000, 0.000)
I (0.107, 0.010, 0.659)
I (0.557, 0.246, 0.143)
I (0.694, 0.655, 0.514)
Zr (0.990, 0.893, 0.720)
Zr (0.010, 0.107, 0.280)

Formation energy (no corrections) = -53 kJ/mol of atoms
Symmetry = P-1 (2)
M_tot = 0.0 μB per formula unit